No. 1
First-principles (PBE) data for crystalline CaLaBePb2 at its relaxed geometry, as listed in the Alexandria database.

Energy of formation (eV/f.u.): 3.2
Density of states at the Fermi level (states/eV/cell): 5.3
Symmetry: P4/mmm, No. 123

Geometry as POSCAR:
```
CaLaBePb2
1.0
6.0406 0.0000 0.0000
0.0000 5.2612 0.0000
0.0000 0.0000 6.0406
Be Pb Ca La
1 2 1 1
Direct
0.0000 0.5000 0.0000
0.0000 0.0000 0.5000
0.5000 0.0000 0.0000
0.5000 0.5000 0.5000
0.0000 0.0000 0.0000
```

***

No. 2
First-principles (PBE) data for crystalline La2Y5ErTm at its relaxed geometry, as listed in the Alexandria database.

Energy of formation (eV/f.u.): 1.2
Density of states at the Fermi level (states/eV/cell): 24.8
Symmetry: Cmc2_1, No. 36

Geometry as POSCAR:
```
La2Y5ErTm
1.0
5.6527 0.0000 0.0000
-2.8264 10.0579 0.0000
0.0000 0.0000 10.6570
La Er Y Tm
4 2 10 2
Direct
0.8863 0.7726 0.2342
0.1147 0.2294 0.3182
0.1137 0.2274 0.7342
0.8853 0.7706 0.8182
0.8031 0.6061 0.5132
0.1969 0.3939 0.0132
0.7004 0.4008 0.2031
0.5187 0.0373 0.2399
0.9845 0.9690 0.5202
0.4813 0.9627 0.7399
0.2996 0.5992 0.7031
0.7219 0.4438 0.8145
0.2781 0.5562 0.3145
0.3816 0.7632 0.0210
0.6184 0.2368 0.5210
0.0155 0.0310 0.0202
0.4106 0.8212 0.4596
0.5894 0.1788 0.9596
```

***

No. 3
First-principles (PBE) data for crystalline ScAlCo3 at its relaxed geometry, as listed in the Alexandria database.

Energy of formation (eV/f.u.): 2.0
Energy relative to the lowest polymorph listed for this composition (eV/atom): 0.000
Density of states at the Fermi level (states/eV/cell): 2.5
Symmetry: Pm-3m, No. 221

Geometry as POSCAR:
```
ScAlCo3
1.0
-3.5199 -2.2596 0.6571
0.2157 -1.4872 -3.9584
2.3433 -3.2573 1.3515
Co Sc Al
3 1 1
Direct
0.5000 0.0000 0.0000
0.0000 0.0000 0.5000
0.0000 0.5000 0.0000
0.5000 0.5000 0.5000
0.0000 0.0000 0.0000
```

***

No. 4
First-principles (PBE) data for crystalline CdFe2Tc at its relaxed geometry, as listed in the Alexandria database.

Energy of formation (eV/f.u.): 1.6
Density of states at the Fermi level (states/eV/cell): 4.1
Symmetry: Cmmm, No. 65

Geometry as POSCAR:
```
CdFe2Tc
1.0
-4.0426 2.3746 0.9798
-0.0539 -4.1748 2.3471
1.1897 1.1601 2.0863
Tc Fe Cd
1 2 1
Direct
0.5000 0.0000 0.5000
0.5000 0.5000 0.0000
0.0000 0.0000 0.0000
0.0000 0.5000 0.5000
```

***

No. 5
First-principles (PBE) data for crystalline Nd2HoEr4Sc at its relaxed geometry, as listed in the Alexandria database.

Energy of formation (eV/f.u.): 0.3
Density of states at the Fermi level (states/eV/cell): 11.9
Symmetry: P4/mmm, No. 123

Geometry as POSCAR:
```
Nd2HoEr4Sc
1.0
4.9981 0.0000 0.0000
0.0000 4.8978 0.9919
0.0001 2.9306 10.7041
Nd Sc Ho Er
2 1 1 4
Direct
0.0000 0.0000 0.0000
0.5000 0.0000 0.5000
0.5000 0.5000 0.0000
0.0000 0.5000 0.5000
0.0000 0.2538 0.2459
0.0000 0.7462 0.7541
0.5000 0.7540 0.2457
0.5000 0.2460 0.7543
```

***

No. 6
First-principles (PBE) data for crystalline BaNa2Pb4 at its relaxed geometry, as listed in the Alexandria database.

Energy of formation (eV/f.u.): -2.1
Density of states at the Fermi level (states/eV/cell): 3.1
Symmetry: I4/mmm, No. 139

Geometry as POSCAR:
```
BaNa2Pb4
1.0
-2.6421 3.4004 -4.9876
-6.5981 1.4212 0.1114
-0.1878 6.7391 0.3413
Na Pb Ba
2 4 1
Direct
0.2500 0.5000 0.5000
0.7500 0.5000 0.5000
0.3055 0.3890 0.0000
0.6945 0.0000 0.6110
0.3055 0.0000 0.3890
0.6945 0.6110 0.0000
0.0000 0.0000 0.0000
```

***

No. 7
First-principles (PBE) data for crystalline La2Cd7Ag2 at its relaxed geometry, as listed in the Alexandria database.

Energy of formation (eV/f.u.): -1.7
Density of states at the Fermi level (states/eV/cell): 5.8
Symmetry: C2/m, No. 12

Geometry as POSCAR:
```
La2Cd7Ag2
1.0
5.4899 0.2783 0.6870
0.9585 7.1336 0.3152
0.5329 -1.1848 7.0865
La Cd Ag
2 7 2
Direct
0.3843 0.2120 0.2120
0.6157 0.7880 0.7880
0.8309 0.3881 0.9542
0.8309 0.9542 0.3881
0.1691 0.6119 0.0458
0.7952 0.4231 0.4231
0.2048 0.5769 0.5769
0.1691 0.0458 0.6119
0.0000 0.0000 0.0000
0.5000 0.2637 0.7363
0.5000 0.7363 0.2637
```

***

No. 8
First-principles (PBE) data for crystalline TaHgPt2 at its relaxed geometry, as listed in the Alexandria database.

Energy of formation (eV/f.u.): -0.9
Density of states at the Fermi level (states/eV/cell): 2.2
Symmetry: Fmmm, No. 69

Geometry as POSCAR:
```
TaHgPt2
1.0
-1.1553 0.9294 -4.7034
3.3188 -2.9982 -2.0778
-2.9920 -1.1098 3.4353
Hg Pt Ta
1 2 1
Direct
0.2500 0.7500 0.5000
0.9999 0.9999 0.0000
0.5001 0.5001 0.0000
0.7500 0.2500 0.5000
```